The following is a DFT calculation (PBE) of an optimized crystal structure of ReIr2Pt.

abc: 5.5170 7.8019 2.7547
angles: 90.00 90.00 90.00
Last column: nearest neighbours and their distance in Å.
Atoms (fractional coordinates):
Re 0.0000 0.0000 0.0000  2 Re 2.75, 8 Ir 2.76, 2 Pt 2.76
Re 0.5000 0.5000 0.0000  2 Re 2.75, 8 Ir 2.76, 2 Pt 2.76
Ir 0.2500 0.2500 0.5000  4 Ir 2.75-2.76, 4 Re 2.76, 4 Pt 2.76
Ir 0.2500 0.7500 0.5000  4 Ir 2.75-2.76, 4 Re 2.76, 4 Pt 2.76
Ir 0.7500 0.2500 0.5000  4 Ir 2.75-2.76, 4 Re 2.76, 4 Pt 2.76
Ir 0.7500 0.7500 0.5000  4 Ir 2.75-2.76, 4 Re 2.76, 4 Pt 2.76
Pt 0.0000 0.5000 0.0000  2 Pt 2.75, 8 Ir 2.76, 2 Re 2.76
Pt 0.5000 0.0000 0.0000  2 Pt 2.75, 8 Ir 2.76, 2 Re 2.76

Results
Space-group type: Cmmm (65)
Energy of formation from the pure elements (meV per atom): -16